A geometry-optimized Ho2Mg2Pb5 structure. Source: Alexandria via LeMat-Bulk, functional PBE-GGA.

Unit cell a=9.972 b=9.972 c=9.972 alpha=73.30 beta=121.25 gamma=140.23
Fractional coordinates of all 18 atoms:
Ho1 0.000 0.000 0.000
Ho2 0.000 0.500 0.500
Ho3 0.811 0.579 0.732
Ho4 0.847 0.079 0.268
Mg1 0.451 0.060 0.589
Mg2 0.451 0.361 0.890
Mg3 0.471 0.560 0.110
Mg4 0.471 0.861 0.411
Pb1 0.280 0.740 0.039
Pb2 0.364 0.288 0.370
Pb3 0.364 0.494 0.576
Pb4 0.492 0.168 0.196
Pb5 0.492 0.796 0.824
Pb6 0.701 0.240 0.961
Pb7 0.919 0.788 0.424
Pb8 0.919 0.994 0.630
Pb9 0.972 0.296 0.804
Pb10 0.972 0.668 0.176

Calculated values
The value obtained for the density of states at the Fermi level is 8.7 states/eV/cell. The space-group type is Ima2 (46). Its formation energy is -0.1314 eV per atom.



A geometry-optimized KLa2P2 structure. Source: Alexandria via LeMat-Bulk, functional PBE-GGA.

Unit cell a=7.560 b=7.560 c=7.560 alpha=135.71 beta=135.71 gamma=64.44
Fractional coordinates of all 5 atoms:
K1 0.000 0.000 0.000
La1 0.250 0.750 0.500
La2 0.750 0.250 0.500
P1 0.296 0.296 0.000
P2 0.704 0.704 0.000

Calculated values
The value obtained for the density of states at the Fermi level is 2.8 states/eV/cell. The space-group type is I4/mmm (139). Its formation energy is -0.7552 eV per atom.



A geometry-optimized TmAgPdAu structure. Source: Alexandria via LeMat-Bulk, functional PBE-GGA.

Unit cell a=4.776 b=4.776 c=4.776 alpha=60.00 beta=60.00 gamma=60.00
Fractional coordinates of all 4 atoms:
Tm1 0.000 0.000 0.000
Ag1 0.500 0.500 0.500
Pd1 0.250 0.250 0.250
Au1 0.750 0.750 0.750

Calculated values
The value obtained for the density of states at the Fermi level is 1.3 states/eV/cell. The space-group type is F-43m (216). Its formation energy is -0.6261 eV per atom.



A geometry-optimized Be2CoAs structure. Source: Alexandria via LeMat-Bulk, functional PBE-GGA.

Unit cell a=5.112 b=5.112 c=5.112 alpha=101.36 beta=101.36 gamma=127.30
Fractional coordinates of all 8 atoms:
Be1 0.109 0.625 0.984
Be2 0.375 0.359 0.484
Be3 0.641 0.125 0.016
Be4 0.875 0.891 0.516
Co1 0.000 0.000 0.000
Co2 0.750 0.250 0.500
As1 0.250 0.750 0.500
As2 0.500 0.500 0.000

Calculated values
The value obtained for the density of states at the Fermi level is 4.2 states/eV/cell. The space-group type is I-42d (122). Its formation energy is 0.4274 eV per atom.



A geometry-optimized PmY2Zn3 structure. Source: Alexandria via LeMat-Bulk, functional PBE-GGA.

Unit cell a=3.605 b=3.605 c=10.848 alpha=90.00 beta=90.00 gamma=90.00
Fractional coordinates of all 6 atoms:
Pm1 0.000 0.000 0.000
Y1 0.000 0.000 0.336
Y2 0.000 0.000 0.664
Zn1 0.500 0.500 0.175
Zn2 0.500 0.500 0.500
Zn3 0.500 0.500 0.825

Calculated values
The value obtained for the density of states at the Fermi level is 7.1 states/eV/cell. The space-group type is P4/mmm (123). Its formation energy is -0.3403 eV per atom.



A geometry-optimized Pr2Dy6Ho3Sc structure. Source: Alexandria via LeMat-Bulk, functional PBE-GGA.

Unit cell a=6.130 b=6.130 c=11.765 alpha=94.97 beta=94.97 gamma=119.99
Fractional coordinates of all 12 atoms:
Pr1 0.166 0.834 0.000
Pr2 0.834 0.166 0.000
Dy1 0.087 0.416 0.748
Dy2 0.254 0.254 0.252
Dy3 0.416 0.087 0.748
Dy4 0.584 0.913 0.252
Dy5 0.746 0.746 0.748
Dy6 0.913 0.584 0.252
Ho1 0.000 0.000 0.500
Ho2 0.334 0.666 0.500
Ho3 0.666 0.334 0.500
Sc1 0.500 0.500 0.000

Calculated values
The value obtained for the density of states at the Fermi level is 15.2 states/eV/cell. The space-group type is C2/m (12). Its formation energy is 0.0263 eV per atom.



A geometry-optimized CsGa2Ag structure. Source: Alexandria via LeMat-Bulk, functional PBE-GGA.

Unit cell a=7.324 b=7.324 c=7.324 alpha=36.52 beta=36.52 gamma=36.52
Fractional coordinates of all 4 atoms:
Cs1 0.000 0.000 0.000
Ga1 0.191 0.191 0.191
Ga2 0.809 0.809 0.809
Ag1 0.500 0.500 0.500

Calculated values
The value obtained for the density of states at the Fermi level is 1.7 states/eV/cell. The space-group type is R-3m (166). Its formation energy is -0.0621 eV per atom.



A geometry-optimized TmNbAl structure. Source: Alexandria via LeMat-Bulk, functional PBE-GGA.

Unit cell a=6.932 b=6.932 c=6.932 alpha=154.49 beta=154.49 gamma=36.38
Fractional coordinates of all 3 atoms:
Tm1 0.000 0.000 0.000
Nb1 0.317 0.317 0.000
Al1 0.674 0.674 0.000

Calculated values
The value obtained for the density of states at the Fermi level is 3.3 states/eV/cell. The space-group type is I4mm (107). Its formation energy is -0.0778 eV per atom.